[1]
A plane-wave DFT calculation with GGA-PBEsol was carried out for crystalline NaHO at its relaxed geometry. Values from VASP.

Structure (Quantum ESPRESSO input):
```
&SYSTEM
  ibrav = 0, nat = 6, ntyp = 3
/
ATOMIC_SPECIES
Na 22.99 Na.upf
O 16.00 O.upf
H 1.01 H.upf
ATOMIC_POSITIONS crystal
Na 0.010 0.000 0.669
Na 0.009 0.500 0.169
O 0.509 0.000 0.318
O 0.509 0.500 0.818
H 0.510 0.000 0.122
H 0.510 0.500 0.622
CELL_PARAMETERS angstrom
-3.198 -0.383 0.065
0.081 -0.074 3.537
-0.586 4.971 0.117
```

[2]
A plane-wave DFT calculation with GGA-PBEsol was carried out for crystalline Na2H16O9 at its relaxed geometry. Values from VASP.

Structure (Quantum ESPRESSO input):
```
&SYSTEM
  ibrav = 0, nat = 108, ntyp = 3
/
ATOMIC_SPECIES
Na 22.99 Na.upf
H 1.01 H.upf
O 16.00 O.upf
ATOMIC_POSITIONS crystal
Na 0.423 0.901 0.318
Na 0.577 0.599 0.818
Na 0.577 0.099 0.682
Na 0.423 0.401 0.182
Na 0.603 0.667 0.293
Na 0.397 0.833 0.793
Na 0.397 0.333 0.707
Na 0.603 0.167 0.207
H 0.869 0.898 0.985
H 0.131 0.602 0.485
H 0.131 0.102 0.015
H 0.869 0.398 0.515
H 0.006 0.771 0.598
H 0.994 0.729 0.098
H 0.994 0.229 0.402
H 0.006 0.271 0.902
H 0.569 0.130 0.439
H 0.431 0.370 0.939
H 0.431 0.870 0.561
H 0.569 0.630 0.061
H 0.778 0.085 0.407
H 0.222 0.415 0.907
H 0.222 0.915 0.593
H 0.778 0.585 0.093
H 0.429 0.700 0.501
H 0.571 0.800 0.001
H 0.571 0.300 0.499
H 0.429 0.200 0.999
H 0.670 0.784 0.513
H 0.330 0.716 0.013
H 0.330 0.216 0.487
H 0.670 0.284 0.987
H 0.785 0.887 0.162
H 0.215 0.613 0.662
H 0.215 0.113 0.838
H 0.785 0.387 0.338
H 0.899 0.897 0.284
H 0.101 0.603 0.784
H 0.101 0.103 0.716
H 0.899 0.397 0.216
H 0.033 0.900 0.448
H 0.967 0.600 0.948
H 0.967 0.100 0.552
H 0.033 0.400 0.052
H 0.091 0.034 0.400
H 0.909 0.466 0.900
H 0.909 0.966 0.600
H 0.091 0.534 0.100
H 0.534 0.948 0.096
H 0.466 0.552 0.596
H 0.466 0.052 0.904
H 0.534 0.448 0.404
H 0.341 0.012 0.078
H 0.659 0.488 0.578
H 0.659 0.988 0.922
H 0.341 0.512 0.422
H 0.205 0.696 0.188
H 0.795 0.804 0.688
H 0.795 0.304 0.812
H 0.205 0.196 0.312
H 0.130 0.676 0.313
H 0.870 0.824 0.813
H 0.870 0.324 0.687
H 0.130 0.176 0.187
H 0.904 0.704 0.461
H 0.096 0.796 0.961
H 0.096 0.296 0.539
H 0.904 0.204 0.039
H 0.846 0.557 0.435
H 0.154 0.943 0.935
H 0.154 0.443 0.565
H 0.846 0.057 0.065
O 0.754 0.925 0.027
O 0.246 0.575 0.527
O 0.246 0.075 0.973
O 0.754 0.425 0.473
O 0.923 0.819 0.556
O 0.077 0.681 0.056
O 0.077 0.181 0.444
O 0.923 0.319 0.944
O 0.629 0.081 0.383
O 0.371 0.419 0.883
O 0.371 0.919 0.617
O 0.629 0.581 0.117
O 0.525 0.779 0.478
O 0.475 0.721 0.978
O 0.475 0.221 0.522
O 0.525 0.279 0.022
O 0.771 0.857 0.240
O 0.229 0.643 0.740
O 0.229 0.143 0.760
O 0.771 0.357 0.260
O 0.091 0.949 0.381
O 0.909 0.551 0.881
O 0.909 0.051 0.619
O 0.091 0.449 0.119
O 0.424 0.979 0.137
O 0.576 0.521 0.637
O 0.576 0.021 0.863
O 0.424 0.479 0.363
O 0.258 0.705 0.266
O 0.742 0.795 0.766
O 0.742 0.295 0.734
O 0.258 0.205 0.234
O 0.917 0.640 0.405
O 0.083 0.860 0.905
O 0.083 0.360 0.595
O 0.917 0.140 0.095
CELL_PARAMETERS angstrom
6.403 0.075 0.000
-2.605 11.148 0.000
0.000 0.000 12.073
```

[3]
A plane-wave DFT calculation with GGA-PBEsol was carried out for crystalline NaHO at its relaxed geometry. Values from VASP.

Structure (Quantum ESPRESSO input):
```
&SYSTEM
  ibrav = 0, nat = 3, ntyp = 3
/
ATOMIC_SPECIES
Na 22.99 Na.upf
O 16.00 O.upf
H 1.01 H.upf
ATOMIC_POSITIONS crystal
Na 0.017 0.017 0.017
O 0.482 0.482 0.482
H 0.615 0.615 0.615
CELL_PARAMETERS angstrom
3.269 -0.021 -0.016
1.147 3.061 -0.016
1.147 0.790 2.958
```

[4]
A plane-wave DFT calculation with GGA-PBEsol was carried out for crystalline Na2P3HO9 at its relaxed geometry. Values from VASP.

Structure (Quantum ESPRESSO input):
```
&SYSTEM
  ibrav = 0, nat = 30, ntyp = 4
/
ATOMIC_SPECIES
Na 22.99 Na.upf
P 30.97 P.upf
H 1.01 H.upf
O 16.00 O.upf
ATOMIC_POSITIONS crystal
Na 0.586 0.647 0.844
Na 0.414 0.353 0.156
Na 0.097 0.647 0.860
Na 0.903 0.353 0.140
P 0.098 0.163 0.774
P 0.902 0.837 0.226
P 0.543 0.162 0.780
P 0.457 0.838 0.220
P 0.767 0.364 0.552
P 0.233 0.636 0.448
H 0.842 0.973 0.814
H 0.158 0.027 0.186
O 0.121 0.310 0.920
O 0.879 0.690 0.080
O 0.584 0.315 0.921
O 0.416 0.685 0.079
O 0.647 0.977 0.822
O 0.353 0.023 0.178
O 0.007 0.971 0.807
O 0.993 0.029 0.193
O 0.304 0.109 0.717
O 0.696 0.891 0.283
O 0.965 0.230 0.592
O 0.035 0.770 0.408
O 0.589 0.227 0.598
O 0.411 0.773 0.402
O 0.801 0.532 0.677
O 0.199 0.468 0.323
O 0.284 0.618 0.643
O 0.716 0.382 0.357
CELL_PARAMETERS angstrom
6.717 -0.061 0.016
-0.065 7.117 -0.008
-1.665 -0.304 7.560
```

[5]
A plane-wave DFT calculation with GGA-PBEsol was carried out for crystalline NaPHO2 at its relaxed geometry. Values from VASP.

Structure (Quantum ESPRESSO input):
```
&SYSTEM
  ibrav = 0, nat = 5, ntyp = 4
/
ATOMIC_SPECIES
P 30.97 P.upf
H 1.01 H.upf
O 16.00 O.upf
Na 22.99 Na.upf
ATOMIC_POSITIONS crystal
P 0.000 0.000 0.500
H 0.500 0.500 0.500
O 0.000 0.500 0.000
O 0.500 0.000 0.000
Na 0.000 0.000 0.000
CELL_PARAMETERS angstrom
-1.904 3.271 1.621
-3.650 -1.697 -0.864
-0.023 -2.363 4.741
```

[6]
A plane-wave DFT calculation with GGA-PBEsol was carried out for crystalline Na2PHO4 at its relaxed geometry. Values from VASP.

Structure (Quantum ESPRESSO input):
```
&SYSTEM
  ibrav = 0, nat = 16, ntyp = 4
/
ATOMIC_SPECIES
Na 22.99 Na.upf
P 30.97 P.upf
H 1.01 H.upf
O 16.00 O.upf
ATOMIC_POSITIONS crystal
Na 0.222 0.610 0.752
Na 0.778 0.390 0.252
Na 0.996 0.001 0.002
Na 0.004 0.999 0.502
P 0.617 0.333 0.758
P 0.383 0.667 0.258
H 0.518 0.019 0.512
H 0.482 0.981 0.012
O 0.692 0.205 0.568
O 0.308 0.795 0.068
O 0.308 0.796 0.440
O 0.692 0.204 0.940
O 0.310 0.241 0.754
O 0.690 0.759 0.254
O 0.798 0.640 0.753
O 0.202 0.360 0.253
CELL_PARAMETERS angstrom
5.491 0.012 0.000
-2.434 4.874 0.000
0.000 0.000 6.817
```

[7]
A plane-wave DFT calculation with GGA-PBEsol was carried out for crystalline Na3P2H4O7 at its relaxed geometry. Values from VASP.

Structure (Quantum ESPRESSO input):
```
&SYSTEM
  ibrav = 0, nat = 32, ntyp = 4
/
ATOMIC_SPECIES
Na 22.99 Na.upf
P 30.97 P.upf
H 1.01 H.upf
O 16.00 O.upf
ATOMIC_POSITIONS crystal
Na 0.925 0.825 0.122
Na 0.075 0.175 0.878
Na 0.726 0.696 0.423
Na 0.274 0.304 0.577
Na 0.332 0.483 0.146
Na 0.668 0.517 0.854
P 0.658 0.165 0.070
P 0.342 0.835 0.930
P 0.596 0.075 0.250
P 0.404 0.925 0.750
H 0.217 0.802 0.517
H 0.783 0.198 0.483
H 0.243 0.898 0.389
H 0.757 0.102 0.611
H 0.263 0.229 0.323
H 0.737 0.771 0.677
H 0.091 0.363 0.352
H 0.909 0.637 0.648
O 0.631 0.394 0.057
O 0.369 0.606 0.943
O 0.662 0.864 0.250
O 0.338 0.136 0.750
O 0.916 0.179 0.056
O 0.084 0.821 0.944
O 0.310 0.989 0.253
O 0.690 0.011 0.747
O 0.780 0.317 0.346
O 0.220 0.683 0.654
O 0.177 0.902 0.466
O 0.823 0.098 0.534
O 0.272 0.393 0.356
O 0.728 0.607 0.644
CELL_PARAMETERS angstrom
-5.506 1.610 -1.708
0.902 -1.238 6.010
4.436 10.417 -0.287
```

[8]
A plane-wave DFT calculation with GGA-PBEsol was carried out for crystalline NaPH7O6 at its relaxed geometry. Values from VASP.

Structure (Quantum ESPRESSO input):
```
&SYSTEM
  ibrav = 0, nat = 60, ntyp = 4
/
ATOMIC_SPECIES
Na 22.99 Na.upf
P 30.97 P.upf
H 1.01 H.upf
O 16.00 O.upf
ATOMIC_POSITIONS crystal
Na 0.379 0.245 0.235
Na 0.859 0.255 0.265
Na 0.621 0.755 0.765
Na 0.141 0.745 0.735
P 0.868 0.838 0.161
P 0.867 0.662 0.339
P 0.132 0.162 0.839
P 0.133 0.338 0.661
H 0.727 0.372 0.047
H 0.146 0.128 0.453
H 0.273 0.628 0.953
H 0.854 0.872 0.547
H 0.086 0.468 0.098
H 0.652 0.032 0.402
H 0.914 0.532 0.902
H 0.348 0.968 0.598
H 0.484 0.879 0.111
H 0.474 0.621 0.389
H 0.516 0.121 0.889
H 0.526 0.379 0.611
H 0.539 0.559 0.100
H 0.198 0.941 0.400
H 0.461 0.441 0.900
H 0.802 0.059 0.600
H 0.396 0.888 0.996
H 0.280 0.612 0.504
H 0.604 0.112 0.004
H 0.720 0.388 0.496
H 0.104 0.294 0.045
H 0.442 0.206 0.455
H 0.896 0.706 0.955
H 0.558 0.794 0.545
H 0.166 0.907 0.135
H 0.208 0.593 0.365
H 0.834 0.093 0.865
H 0.792 0.407 0.635
O 0.009 0.704 0.067
O 0.780 0.796 0.433
O 0.991 0.296 0.933
O 0.220 0.204 0.567
O 0.631 0.969 0.143
O 0.743 0.531 0.357
O 0.369 0.031 0.857
O 0.257 0.469 0.643
O 0.988 0.967 0.169
O 0.124 0.533 0.331
O 0.012 0.033 0.831
O 0.876 0.467 0.669
O 0.612 0.416 0.119
O 0.147 0.084 0.381
O 0.388 0.584 0.881
O 0.853 0.916 0.619
O 0.136 0.324 0.113
O 0.572 0.176 0.387
O 0.864 0.676 0.887
O 0.428 0.824 0.613
O 0.393 0.830 0.082
O 0.306 0.670 0.418
O 0.607 0.170 0.918
O 0.694 0.330 0.582
CELL_PARAMETERS angstrom
-5.805 -3.333 -1.349
-0.339 -3.632 -6.850
1.928 -11.395 2.571
```

Number 1: energy -27.61 eV/cell. Number 2: energy -534.61 eV/cell. Number 3: energy -13.77 eV/cell. Number 4: energy -204.44 eV/cell. Number 5: energy -13.32 eV/cell. Number 6: energy -98.34 eV/cell. Number 7: energy -184.82 eV/cell. Number 8: energy -329.95 eV/cell.